(1)
5
Lattice="-3.0468 -2.4761 2.9173 -2.4374 -1.6189 -3.9196 2.9498 -3.8952 -0.2255" Properties=species:S:1:pos:R:3 comment="Ga3HgPt, optimized geometry, DFT GGA-PBE" total_energy_ev_per_fu=-16.54 formation_energy_mev_per_atom=-222.8 magmom_total_mub_per_fu=0.00 vol_a3_per_cell=117.0 dos_at_fermi_per_ev_fu=2.10 crystal_system=cubic pbc="T T T"
Ga -1.2187 -0.8094 -1.9598
Ga 1.4749 -1.9476 -0.1127
Ga -1.5234 -1.2381 1.4587
Hg -1.2672 -3.9951 -0.6139
Pt 0.0000 0.0000 0.0000

(2)
10
Lattice="6.6682 0.0000 0.0000 0.0000 6.6682 0.0000 0.0000 0.0000 4.2901" Properties=species:S:1:pos:R:3 comment="GaHg2Pt2, optimized geometry, DFT GGA-PBE" total_energy_ev_per_fu=-16.50 formation_energy_mev_per_atom=-158.5 magmom_total_mub_per_fu=0.00 vol_a3_per_cell=190.8 dos_at_fermi_per_ev_fu=1.58 crystal_system=tetragonal pbc="T T T"
Ga 0.0000 0.0000 0.0000
Ga 3.3341 3.3341 0.0000
Hg 1.0620 4.3961 2.1450
Hg 4.3961 5.6061 2.1450
Hg 5.6061 2.2721 2.1450
Hg 2.2721 1.0620 2.1450
Pt 2.3347 5.6688 0.0000
Pt 5.6688 4.3334 0.0000
Pt 4.3334 0.9993 0.0000
Pt 0.9993 2.3347 0.0000

(3)
5
Lattice="-0.2225 -2.8439 2.5742 3.4852 -1.2271 -1.0544 4.1761 1.5753 4.9690" Properties=species:S:1:pos:R:3 comment="Ga2HgPt2, optimized geometry, DFT GGA-PBE" total_energy_ev_per_fu=-20.38 formation_energy_mev_per_atom=-388.6 magmom_total_mub_per_fu=0.00 vol_a3_per_cell=90.1 dos_at_fermi_per_ev_fu=2.47 crystal_system=tetragonal pbc="T T T"
Ga 2.7925 -1.6521 4.1516
Ga 4.6463 -0.8437 2.3373
Hg 0.0000 0.0000 0.0000
Pt 2.2048 -1.2218 1.7085
Pt 5.2339 -1.2740 4.7803